First-principles (GGA-PBE) data for crystalline GdBiN at its relaxed geometry, as listed in Alexandria via LeMat-Bulk. Values from VASP.

Geometry as Quantum ESPRESSO input:
```
&SYSTEM
  ibrav = 0, nat = 3, ntyp = 3
/
ATOMIC_SPECIES
Gd 157.25 Gd.upf
N 14.01 N.upf
Bi 208.98 Bi.upf
CELL_PARAMETERS angstrom
3.435 0.000 0.000
0.000 3.435 0.000
-1.718 -1.718 6.047
ATOMIC_POSITIONS angstrom
Gd 1.718 1.718 2.822
N 0.000 0.000 2.840
Bi 0.000 0.000 0.386
```

Values from the calculation:
As for the space group: No. 107. For the energy relative to the elements, uncorrected, the calculation gives -0.660 eV per atom. Its raw total energy is -0.3463 hartree per atom. For the calculated volume, the calculation gives 71 Å³ per cell. Its calculated density is 8.846 Mg/m³.